No. 1
Below is a geometry-optimized LaSbTe2Se structure, with properties calculated at the GGA-PBE level.

Cell: 6.074 6.074 6.368 Å, 90.00 90.00 90.00°
Fractional coordinates of all 5 atoms:
La: 0.000 0.000 0.000
Sb: 0.000 0.000 0.500
Te: 0.000 0.500 0.000
Te: 0.500 0.000 0.000
Se: 0.500 0.500 0.500

Computed properties:
* ΔE to the lowest computed polymorph: 0.666 eV per atom
* formation energy without anion corrections: 36.9 kJ per mole of atoms
* volume: 235.0 Å³/cell



No. 2
Below is a geometry-optimized La6Sb2TeSe3 structure, with properties calculated at the GGA-PBE level.

Cell: 9.980 9.980 8.934 Å, 102.89 102.89 25.84°
Fractional coordinates of all 12 atoms:
La: 0.003 0.003 0.236
La: 0.328 0.328 0.422
La: 0.336 0.336 0.910
La: 0.664 0.664 0.090
La: 0.672 0.672 0.578
La: 0.997 0.997 0.764
Sb: 0.166 0.166 0.832
Sb: 0.834 0.834 0.168
Te: 0.500 0.500 0.500
Se: 0.166 0.166 0.334
Se: 0.500 0.500 0.000
Se: 0.834 0.834 0.666

Computed properties:
* formation energy without anion corrections: -163.9 kJ per mole of atoms
* volume: 377.5 Å³/cell



No. 3
Below is a geometry-optimized La2SbTeSe structure, with properties calculated at the GGA-PBE level.

Cell: 5.801 5.801 5.164 Å, 90.00 90.00 90.00°
Fractional coordinates of all 5 atoms:
La: 0.000 0.500 0.000
La: 0.500 0.000 0.000
Sb: 0.000 0.000 0.500
Te: 0.500 0.500 0.500
Se: 0.000 0.000 0.000

Computed properties:
* formation energy without anion corrections: -70.2 kJ per mole of atoms
* volume: 173.7 Å³/cell



No. 4
Below is a geometry-optimized La6Sb3Te2Se structure, with properties calculated at the GGA-PBE level.

Cell: 10.198 10.198 9.113 Å, 102.67 102.67 25.91°
Fractional coordinates of all 12 atoms:
La: 0.003 0.003 0.258
La: 0.335 0.335 0.912
La: 0.337 0.337 0.423
La: 0.663 0.663 0.577
La: 0.665 0.665 0.088
La: 0.997 0.997 0.742
Sb: 0.169 0.169 0.335
Sb: 0.500 0.500 0.000
Sb: 0.831 0.831 0.665
Te: 0.166 0.166 0.833
Te: 0.834 0.834 0.167
Se: 0.500 0.500 0.500

Computed properties:
* formation energy without anion corrections: -147.1 kJ per mole of atoms
* volume: 403.5 Å³/cell



No. 5
Below is a geometry-optimized La4SbTeSe2 structure, with properties calculated at the GGA-PBE level.

Cell: 8.919 8.919 8.919 Å, 120.29 119.69 90.02°
Fractional coordinates of all 16 atoms:
La: 0.258 0.248 0.491
La: 0.258 0.767 0.009
La: 0.261 0.245 0.016
La: 0.271 0.755 0.516
La: 0.729 0.245 0.484
La: 0.739 0.755 0.984
La: 0.742 0.233 0.991
La: 0.742 0.752 0.509
Sb: 0.000 0.500 0.500
Sb: 0.500 0.500 0.000
Te: 0.000 0.000 0.500
Te: 0.000 0.500 0.000
Se: 0.000 0.000 0.000
Se: 0.500 0.000 0.000
Se: 0.500 0.000 0.500
Se: 0.500 0.500 0.500

Computed properties:
* formation energy without anion corrections: -166.4 kJ per mole of atoms
* volume: 501.8 Å³/cell



No. 6
Below is a geometry-optimized LaSbTe2Se structure, with properties calculated at the GGA-PBE level.

Cell: 5.445 5.445 5.438 Å, 90.00 90.00 90.00°
Fractional coordinates of all 5 atoms:
La: 0.000 0.000 0.000
Sb: 0.500 0.500 0.000
Te: 0.000 0.500 0.500
Te: 0.500 0.000 0.500
Se: 0.500 0.500 0.500

Computed properties:
* ΔE to the lowest computed polymorph: 0.000 eV per atom
* formation energy without anion corrections: -27.4 kJ per mole of atoms
* volume: 161.2 Å³/cell



What did the first record say?
Below is a geometry-optimized LaSbTe2Se structure, with properties calculated at the GGA-PBE level.

Cell: 6.074 6.074 6.368 Å, 90.00 90.00 90.00°
Fractional coordinates of all 5 atoms:
La: 0.000 0.000 0.000
Sb: 0.000 0.000 0.500
Te: 0.000 0.500 0.000
Te: 0.500 0.000 0.000
Se: 0.500 0.500 0.500

Computed properties:
* ΔE to the lowest computed polymorph: 0.666 eV per atom
* formation energy without anion corrections: 36.9 kJ per mole of atoms
* volume: 235.0 Å³/cell